The following is a GGA-PBE calculation of a relaxed Tl2SiSe crystal, from Alexandria.

Computed properties:
Uncorrected formation energy   1.23 eV per formula unit
Energy above the most stable polymorph in this dataset   286.9 meV/atom

```
Tl2SiSe
1.0
-2.233 2.233 5.128
2.233 -2.233 5.128
2.233 2.233 -5.128
Tl Si Se
2 1 1
Direct
0.000 0.000 0.000
0.750 0.250 0.500
0.500 0.500 0.000
0.250 0.750 0.500
```